Record 1
LaHo2Tm | PBE-GGA | relaxed

Cell: 3.5743 6.1999 12.3400 Å, 109.60 90.00 90.01°
Closest atoms and distances in Å follow each position.
Fractional coordinates of all 8 atoms:
La1 0.4805 0.9185 0.0709  6 La 3.57-3.58, 6 Ho 3.63-3.64
La2 0.9808 0.4186 0.0709  6 La 3.57-3.58, 6 Ho 3.63-3.64
Ho1 0.9804 0.9139 0.8137  3 Tm 3.50, 6 Ho 3.57-3.58, 3 La 3.63-3.64
Ho2 0.9791 0.9234 0.3281  3 Tm 3.50, 6 Ho 3.57-3.58, 3 La 3.63-3.64
Ho3 0.4793 0.4234 0.3281  3 Tm 3.50, 6 Ho 3.57-3.58, 3 La 3.63-3.64
Ho4 0.4805 0.4140 0.8137  3 Tm 3.50, 6 Ho 3.57-3.58, 3 La 3.63
Tm1 0.4794 0.9190 0.5708  6 Ho 3.50, 6 Tm 3.57-3.58
Tm2 0.9796 0.4189 0.5709  6 Ho 3.50, 6 Tm 3.57-3.58

Calculated values
Its total moment is 0.0 μB/f.u. For the energy above the most stable polymorph in this dataset, the calculation gives 21 meV/atom. The value obtained for the density of states at the Fermi level is 1.545 states/eV/atom. For the formation energy, the calculation gives 0.029 eV per atom.


Record 2
La3Ho4Tm | PBE-GGA | relaxed

Cell: 3.5070 8.9691 8.9691 Å, 82.23 78.73 78.73°
Closest atoms and distances in Å follow each position.
Fractional coordinates of all 8 atoms:
Tm1 0.5000 0.0000 0.0000  4 Ho 3.37, 2 Tm 3.51, 4 La 3.63
Ho1 0.6344 0.1098 0.6214  1 Tm 3.37, 3 La 3.41-3.66, 5 Ho 3.49-3.51
Ho2 0.3656 0.8902 0.3786  1 Tm 3.37, 3 La 3.41-3.66, 5 Ho 3.49-3.51
Ho3 0.3656 0.3786 0.8902  1 Tm 3.37, 3 La 3.41-3.66, 5 Ho 3.49-3.51
Ho4 0.6344 0.6214 0.1098  1 Tm 3.37, 3 La 3.41-3.66, 5 Ho 3.49-3.51
La1 0.7560 0.2440 0.2440  6 Ho 3.41-3.66, 4 La 3.51-3.77, 2 Tm 3.63
La2 0.2440 0.7560 0.7560  6 Ho 3.41-3.66, 4 La 3.51-3.77, 2 Tm 3.63
La3 0.0000 0.5000 0.5000  6 La 3.51-3.77, 8 Ho 3.91

Calculated values
Its total moment is 0.0 μB/f.u. For the energy above the most stable polymorph in this dataset, the calculation gives 63 meV/atom. The value obtained for the density of states at the Fermi level is 1.565 states/eV/atom. For the formation energy, the calculation gives 0.138 eV per atom.


Record 3
La5HoTm4 | PBE-GGA | relaxed

Cell: 4.1569 4.1569 19.5931 Å, 90.00 90.00 90.00°
Closest atoms and distances in Å follow each position.
Fractional coordinates of all 10 atoms:
La1 0.5000 0.5000 0.1016  4 Tm 3.53, 4 Ho 3.55, 1 La 3.89
La2 0.5000 0.5000 0.3004  8 Tm 3.53, 2 La 3.89-3.91
La3 0.5000 0.5000 0.5000  8 Tm 3.53, 2 La 3.91
La4 0.5000 0.5000 0.6996  8 Tm 3.53, 2 La 3.89-3.91
La5 0.5000 0.5000 0.8984  4 Tm 3.53, 4 Ho 3.55, 1 La 3.89
Ho1 0.0000 0.0000 0.0000  8 La 3.55, 2 Tm 3.94
Tm1 0.0000 0.0000 0.2010  8 La 3.53, 1 Tm 3.90, 1 Ho 3.94
Tm2 0.0000 0.0000 0.4000  8 La 3.53, 2 Tm 3.90-3.92
Tm3 0.0000 0.0000 0.6000  8 La 3.53, 2 Tm 3.90-3.92
Tm4 0.0000 0.0000 0.7990  8 La 3.53, 1 Tm 3.90, 1 Ho 3.94

Calculated values
Its total moment is 0.0 μB/f.u. The value obtained for the density of states at the Fermi level is 1.584 states/eV/atom. For the formation energy, the calculation gives 0.065 eV per atom.


Record 4
La2HoTm5 | PBE-GGA | relaxed

Cell: 7.1498 7.1502 7.1123 Å, 120.15 120.15 90.08°
Closest atoms and distances in Å follow each position.
Fractional coordinates of all 8 atoms:
La1 0.2221 0.7220 0.4442  10 Tm 3.55-3.57, 2 Ho 3.58
La2 0.7221 0.2222 0.4443  10 Tm 3.55-3.58, 2 Ho 3.57
Ho1 0.2221 0.2221 0.4442  8 Tm 3.55-3.56, 4 La 3.57-3.58
Tm1 0.7221 0.2221 0.9443  4 La 3.55-3.56, 2 Ho 3.56, 6 Tm 3.56-3.58
Tm2 0.2221 0.2221 0.9443  6 Tm 3.55-3.58, 2 Ho 3.56, 4 La 3.56
Tm3 0.7221 0.7222 0.9443  2 Ho 3.55, 6 Tm 3.56-3.58, 4 La 3.56
Tm4 0.2222 0.7222 0.9443  4 La 3.55-3.56, 2 Ho 3.56, 6 Tm 3.56-3.58
Tm5 0.7221 0.7221 0.4442  8 Tm 3.55-3.56, 4 La 3.57-3.58

Calculated values
Its total moment is 0.0 μB/f.u. For the energy above the most stable polymorph in this dataset, the calculation gives 0 meV/atom. The value obtained for the density of states at the Fermi level is 1.715 states/eV/atom. For the formation energy, the calculation gives 0.041 eV per atom.


Record 5
La3Ho2Tm | PBE-GGA | relaxed

Cell: 6.3065 6.3065 11.8078 Å, 90.00 90.00 120.00°
Closest atoms and distances in Å follow each position.
Fractional coordinates of all 12 atoms:
La1 0.6675 0.6675 0.7500  2 Tm 3.62, 4 Ho 3.63, 6 La 3.63-3.65
La2 0.0000 0.3325 0.7500  2 Tm 3.62, 4 Ho 3.63, 6 La 3.63-3.65
La3 0.3325 0.0000 0.7500  2 Tm 3.62, 4 Ho 3.63, 6 La 3.63-3.65
La4 0.3325 0.3325 0.2500  2 Tm 3.62, 4 Ho 3.63, 6 La 3.63-3.65
La5 0.0000 0.6675 0.2500  2 Tm 3.62, 4 Ho 3.63, 6 La 3.63-3.65
La6 0.6675 0.0000 0.2500  2 Tm 3.62, 4 Ho 3.63, 6 La 3.63-3.65
Ho1 0.6667 0.3333 0.0000  6 La 3.63, 3 Ho 3.64, 3 Tm 3.64
Ho2 0.3333 0.6667 0.5000  6 La 3.63, 3 Ho 3.64, 3 Tm 3.64
Ho3 0.3333 0.6667 0.0000  6 La 3.63, 3 Ho 3.64, 3 Tm 3.64
Ho4 0.6667 0.3333 0.5000  6 La 3.63, 3 Ho 3.64, 3 Tm 3.64
Tm1 0.0000 0.0000 0.0000  6 La 3.62, 6 Ho 3.64
Tm2 0.0000 0.0000 0.5000  6 La 3.62, 6 Ho 3.64

Calculated values
Its total moment is 0.0 μB/f.u. For the energy above the most stable polymorph in this dataset, the calculation gives 0 meV/atom. The value obtained for the density of states at the Fermi level is 1.150 states/eV/atom. For the formation energy, the calculation gives 0.049 eV per atom.


Record 6
La16Ho7Tm6 | PBE-GGA | relaxed

Cell: 11.4330 11.4330 11.4330 Å, 60.00 60.00 60.00°
Closest atoms and distances in Å follow each position.
Fractional coordinates of all 29 atoms:
La1 0.8752 0.8752 0.3745  4 Ho 3.50, 3 Tm 3.57, 3 La 3.73
La2 0.8752 0.8752 0.8752  4 Ho 3.50, 3 Tm 3.57, 3 La 3.73
La3 0.8752 0.3745 0.8752  4 Ho 3.50, 3 Tm 3.57, 3 La 3.73
La4 0.3745 0.8752 0.8752  4 Ho 3.50, 3 Tm 3.57, 3 La 3.73
La5 0.1248 0.1248 0.1248  4 Ho 3.50, 3 Tm 3.57, 3 La 3.73
La6 0.1248 0.1248 0.6255  4 Ho 3.50, 3 Tm 3.57, 3 La 3.73
La7 0.1248 0.6255 0.1248  4 Ho 3.50, 3 Tm 3.57, 3 La 3.73
La8 0.6255 0.1248 0.1248  4 Ho 3.50, 3 Tm 3.57, 3 La 3.73
La9 0.6468 0.6468 0.0597  3 Ho 3.35, 3 Tm 3.69, 3 La 3.73
La10 0.6468 0.6468 0.6468  3 Ho 3.35, 3 Tm 3.69, 3 La 3.73
La11 0.6468 0.0597 0.6468  3 Ho 3.35, 3 Tm 3.69, 3 La 3.73
La12 0.0597 0.6468 0.6468  3 Ho 3.35, 3 Tm 3.69, 3 La 3.73
La13 0.3532 0.3532 0.3532  3 Ho 3.35, 3 Tm 3.69, 3 La 3.73
La14 0.3532 0.3532 0.9403  3 Ho 3.35, 3 Tm 3.69, 3 La 3.73
La15 0.3532 0.9403 0.3532  3 Ho 3.35, 3 Tm 3.69, 3 La 3.73
La16 0.9403 0.3532 0.3532  3 Ho 3.35, 3 Tm 3.69, 3 La 3.73
Ho1 0.0000 0.0000 0.0000  8 La 3.50
Ho2 0.5000 0.0000 0.5000  8 La 3.35-3.50
Ho3 0.0000 0.5000 0.0000  8 La 3.35-3.50
Ho4 0.0000 0.5000 0.5000  8 La 3.35-3.50
Ho5 0.5000 0.0000 0.0000  8 La 3.35-3.50
Ho6 0.0000 0.0000 0.5000  8 La 3.35-3.50
Ho7 0.5000 0.5000 0.0000  8 La 3.35-3.50
Tm1 0.2576 0.7424 0.2576  8 La 3.57-3.69
Tm2 0.7424 0.2576 0.7424  8 La 3.57-3.69
Tm3 0.7424 0.2576 0.2576  8 La 3.57-3.69
Tm4 0.2576 0.7424 0.7424  8 La 3.57-3.69
Tm5 0.7424 0.7424 0.2576  8 La 3.57-3.69
Tm6 0.2576 0.2576 0.7424  8 La 3.57-3.69

Calculated values
Its total moment is 0.0 μB/f.u. The value obtained for the density of states at the Fermi level is 1.498 states/eV/atom. For the formation energy, the calculation gives 0.193 eV per atom.


Q: What is the total moment in the fourth record?
A: 0.0 μB/f.u.